VASP calculation (PBE) on KTe2S2 after structural relaxation.

For the total energy, the calculation gives -32.5 eV for the cell shown. The magnetic moment is 0.00 μB per formula unit. As for the formation energy from raw total energies: -0.1196 eV per atom. For the energy above the most stable polymorph in this dataset, the calculation gives 2.458 kcal/mol of atoms.

It has space group P4/mbm (No. 127), with a = 9.0220 Å, b = 9.0220 Å, c = 3.5558 Å, α = 90.00°, β = 90.00° and γ = 90.00°. The asymmetric unit holds K at (0.0000, 0.0000, 0.0000), Te at (0.1260, 0.3740, 0.0000) and S at (0.2264, 0.7264, 0.5000).